(1)
{"formula": "Y2PuZn", "functional": "PBE", "state": "optimized geometry", "cell": [[1.7221, 0.9943, 11.1906], [-1.7221, 0.9943, 11.1906], [0.0000, -1.9885, 11.1906]], "species": ["Y", "Y", "Pu", "Zn"], "fractional_positions": [[0.0995, 0.0995, 0.0995], [0.9005, 0.9005, 0.9005], [0.0000, 0.0000, 0.0000], [0.5000, 0.5000, 0.5000]], "total_magnetization_mub_per_atom": 1.61, "density_kg_m3": 7037, "de_polymorph_mev_per_atom": 288, "e_form_kj_per_mol_atoms": 21, "sg": "R-3m (166)"}

---

(2)
{"formula": "La4Co2Ni", "functional": "PBE", "state": "optimized geometry", "cell": [[-4.4421, 4.4421, 4.3232], [4.4421, -4.4421, 4.3232], [4.4421, 4.4421, -4.3232]], "species": ["La", "La", "La", "La", "La", "La", "La", "La", "Co", "Co", "Co", "Co", "Ni", "Ni"], "fractional_positions": [[0.0225, 0.3822, 0.2509], [0.1314, 0.7716, 0.7491], [0.1322, 0.2725, 0.7509], [0.2284, 0.9775, 0.3598], [0.5216, 0.3814, 0.2491], [0.6178, 0.8686, 0.6402], [0.6186, 0.8678, 0.1402], [0.7275, 0.4784, 0.8598], [0.2439, 0.6250, 0.1189], [0.3750, 0.4939, 0.6189], [0.5061, 0.1250, 0.8811], [0.8750, 0.7561, 0.3811], [0.0000, 0.0000, 0.0000], [0.7500, 0.2500, 0.5000]], "total_magnetization_mub_per_atom": 0.00, "density_kg_m3": 7126, "e_form_kj_per_mol_atoms": -14, "sg": "I-42d (122)"}

---

(3)
{"formula": "Nb2AlSiPb", "functional": "PBE", "state": "optimized geometry", "cell": [[5.2490, 0.0000, 0.0000], [0.0000, 5.2490, 0.0000], [0.0000, 0.0000, 4.7891]], "species": ["Nb", "Nb", "Al", "Si", "Pb"], "fractional_positions": [[0.0000, 0.5000, 0.0000], [0.5000, 0.0000, 0.0000], [0.0000, 0.0000, 0.5000], [0.5000, 0.5000, 0.5000], [0.0000, 0.0000, 0.0000]], "total_magnetization_mub_per_atom": 0.00, "density_kg_m3": 5639, "sg": "P4/mmm (123)", "formation_energy_uncorrected_mev_per_atom": 1964}

---

(4)
{"formula": "Mg4GaHg3", "functional": "PBE", "state": "optimized geometry", "cell": [[3.4019, 0.0000, 0.0000], [0.0000, 3.4019, 0.0000], [0.0000, 0.0000, 14.4291]], "species": ["Mg", "Mg", "Mg", "Mg", "Ga", "Hg", "Hg", "Hg"], "fractional_positions": [[0.0000, 0.0000, 0.1172], [0.0000, 0.0000, 0.3714], [0.0000, 0.0000, 0.6286], [0.0000, 0.0000, 0.8828], [0.5000, 0.5000, 0.0000], [0.5000, 0.5000, 0.2431], [0.5000, 0.5000, 0.5000], [0.5000, 0.5000, 0.7569]], "total_magnetization_mub_per_atom": 0.00, "density_kg_m3": 7644, "e_form_kj_per_mol_atoms": -19, "sg": "P4/mmm (123)"}

---

(5)
{"formula": "PPb", "functional": "PBE", "state": "optimized geometry", "cell": [[2.9197, -3.4078, 0.0000], [2.9197, 3.4078, 0.0000], [0.0000, 0.0000, 5.0799]], "species": ["P", "P", "Pb", "Pb"], "fractional_positions": [[0.1011, 0.8989, 0.7500], [0.8989, 0.1011, 0.2500], [0.3142, 0.6858, 0.2500], [0.6858, 0.3142, 0.7500]], "total_magnetization_mub_per_atom": 0.00, "density_kg_m3": 7825, "e_form_kj_per_mol_atoms": 25, "sg": "Cmcm (63)"}

---

(6)
{"formula": "Ac3P2Rh7", "functional": "PBE", "state": "optimized geometry", "cell": [[2.1182, -13.5841, 0.0000], [2.1182, 13.5841, 0.0000], [0.0000, 0.0000, 4.1974]], "species": ["Ac", "Ac", "Ac", "P", "P", "Rh", "Rh", "Rh", "Rh", "Rh", "Rh", "Rh"], "fractional_positions": [[0.0000, 0.0000, 0.0000], [0.1967, 0.8033, 0.0000], [0.8033, 0.1967, 0.0000], [0.4161, 0.5839, 0.5000], [0.5839, 0.4161, 0.5000], [0.1166, 0.8834, 0.5000], [0.2959, 0.7041, 0.5000], [0.3823, 0.6177, 0.0000], [0.5000, 0.5000, 0.5000], [0.6177, 0.3823, 0.0000], [0.7041, 0.2959, 0.5000], [0.8834, 0.1166, 0.5000]], "total_magnetization_mub_per_atom": 0.00, "density_kg_m3": 10059, "e_form_kj_per_mol_atoms": -67, "sg": "Cmmm (65)"}

---

(7)
{"formula": "SrLiCd2", "functional": "PBE", "state": "optimized geometry", "cell": [[3.5745, -3.5768, 0.0000], [3.5745, 3.5768, 0.0000], [-0.0100, 0.0000, 4.4786]], "species": ["Sr", "Li", "Cd", "Cd"], "fractional_positions": [[0.0000, 0.0000, 0.0000], [0.5000, 0.5000, 0.0000], [0.0000, 0.5000, 0.5000], [0.5000, 0.0000, 0.5000]], "total_magnetization_mub_per_atom": 0.00, "density_kg_m3": 4631, "de_polymorph_mev_per_atom": 119, "e_form_kj_per_mol_atoms": -15, "sg": "C2/m (12)"}

---

(8)
{"formula": "La6Se5", "functional": "PBE", "state": "optimized geometry", "cell": [[3.7224, -6.4178, 0.0000], [3.7224, 6.4178, 0.0000], [-2.4754, 0.0000, 7.0045]], "species": ["La", "La", "La", "La", "La", "La", "Se", "Se", "Se", "Se", "Se"], "fractional_positions": [[0.0816, 0.4174, 0.7493], [0.2492, 0.2492, 0.2547], [0.4174, 0.0816, 0.7493], [0.5826, 0.9184, 0.2507], [0.7508, 0.7508, 0.7453], [0.9184, 0.5826, 0.2507], [0.0000, 0.0000, 0.5000], [0.1658, 0.8342, 0.0000], [0.3317, 0.6683, 0.5000], [0.6683, 0.3317, 0.5000], [0.8342, 0.1658, 0.0000]], "total_magnetization_mub_per_atom": 0.00, "density_kg_m3": 6094, "sg": "C2/m (12)", "formation_energy_uncorrected_mev_per_atom": -1779}